A plane-wave DFT calculation with GGA-PBE was carried out for a geometry-optimized TiNbPd2 structure.

Cell: 2.8789 2.8789 27.1856 Å, 90.00 90.00 120.00°
Space group R3m (No. 160, hexagonal axes)
One atom of each set of equivalent atoms:
Ti 0.0000 0.0000 0.0000
Nb 0.0000 0.0000 0.8341
Pd 0.0000 0.0000 0.4142
Pd 0.0000 0.0000 0.5864

Computed properties:
The value obtained for the density of states at the Fermi level is 17.2 states/eV/cell. The value obtained for the energy of formation from the pure elements is -0.26 eV per atom. The value obtained for the electronic total energy is -88.19 eV per cell. The calculation puts the calculated volume at 16.260 A^3/atom.

A plane-wave DFT calculation with GGA-PBE was carried out for a geometry-optimized Ti4Nb3Pd structure.

Cell: 3.228 4.604 9.134 Å, 90.00 90.00 90.00°
Space group Pmmm (No. 47)
One atom of each set of equivalent atoms:
Ti 0.000 0.000 0.000
Ti 0.000 0.000 0.500
Ti 0.000 0.500 0.242
Nb 0.500 0.000 0.250
Nb 0.500 0.500 0.500
Pd 0.500 0.500 0.000

Computed properties:
The value obtained for the density of states at the Fermi level is 13.5 states/eV/cell. The value obtained for the energy of formation from the pure elements is -0.13 eV per atom. The value obtained for the electronic total energy is -68.04 eV per cell. The calculation puts the calculated volume at 16.966 A^3/atom.

A plane-wave DFT calculation with GGA-PBE was carried out for a geometry-optimized TiNbPd structure.

Cell: 4.4121 4.4121 18.9944 Å, 90.00 90.00 120.00°
Space group R-3m (No. 166, hexagonal axes)
One atom of each set of equivalent atoms:
Ti 0.0000 0.0000 0.0751
Nb 0.0000 0.0000 0.3602
Pd 0.0000 0.0000 0.2115

Computed properties:
The value obtained for the density of states at the Fermi level is 14.8 states/eV/cell. The value obtained for the energy of formation from the pure elements is -0.10 eV per atom. The value obtained for the electronic total energy is -140.73 eV per cell. The calculation puts the calculated volume at 17.789 A^3/atom. As for the distance to the lowest polymorph of the same formula: 0.260 eV per atom.

A plane-wave DFT calculation with GGA-PBE was carried out for a geometry-optimized Ti7NbPd2 structure.

Cell: 9.224 9.224 9.224 Å, 90.00 90.00 90.00°
Space group Fm-3m (No. 225)
One atom of each set of equivalent atoms:
Ti 0.000 0.000 0.000
Ti 0.000 0.000 0.245
Nb 0.000 0.000 0.500
Pd 0.250 0.250 0.250

Computed properties:
The value obtained for the density of states at the Fermi level is 67.9 states/eV/cell. The value obtained for the energy of formation from the pure elements is 0.86 eV per atom. The value obtained for the electronic total energy is -268.62 eV per cell. The calculation puts the calculated volume at 19.619 A^3/atom.

A plane-wave DFT calculation with GGA-PBE was carried out for a geometry-optimized TiNb2Pd7 structure.

Cell: 7.163 13.697 4.011 Å, 90.00 90.00 90.00°
Space group Cmmm (No. 65)
One atom of each set of equivalent atoms:
Ti 0.000 0.000 0.000
Nb 0.000 0.306 0.500
Pd 0.000 0.199 0.000
Pd 0.000 0.500 0.500
Pd 0.186 0.101 0.500

Computed properties:
The value obtained for the density of states at the Fermi level is 14.6 states/eV/cell. The value obtained for the energy of formation from the pure elements is 0.18 eV per atom. The value obtained for the electronic total energy is -125.10 eV per cell. The calculation puts the calculated volume at 19.679 A^3/atom.

A plane-wave DFT calculation with GGA-PBE was carried out for a geometry-optimized Ti2NbPd8 structure.

Cell: 14.108 3.995 6.426 Å, 90.00 109.16 90.00°
Space group C2/m (No. 12)
One atom of each set of equivalent atoms:
Ti 0.218 0.000 0.159
Nb 0.000 0.500 0.500
Pd 0.040 0.000 0.231
Pd 0.105 0.500 0.953
Pd 0.145 0.000 0.697
Pd 0.179 0.500 0.413

Computed properties:
The value obtained for the density of states at the Fermi level is 11.9 states/eV/cell. The value obtained for the energy of formation from the pure elements is -0.52 eV per atom. The value obtained for the electronic total energy is -146.27 eV per cell. The calculation puts the calculated volume at 15.553 A^3/atom.